Entry 1:
This record from Alexandria via LeMat-Bulk describes a relaxed Ba2YBr crystal. The functional is GGA-PBE.

a = 3.862 Å, b = 3.862 Å, c = 10.982 Å
α = 90.00°, β = 90.00°, γ = 90.00°
Positions (direct):
Y (0.500, 0.500, 0.709)
Ba (0.000, 0.000, 0.971)
Ba (0.500, 0.500, 0.300)
Br (0.000, 0.000, 0.520)

Magnetic moment ... 0.0 Bohr magnetons per cell
Crystal system ... tetragonal
Energy above the lowest structure with this stoichiometry ... 213 meV/atom
Raw formation energy ... -0.379 eV/atom
SG ... P4mm (99)
DFT total energy ... -3.37 eV per atom

=====

Entry 2:
This record from Alexandria via LeMat-Bulk describes a relaxed Ba2YBr crystal. The functional is GGA-PBE.

a = 4.207 Å, b = 4.207 Å, c = 11.486 Å
α = 79.47°, β = 79.47°, γ = 59.97°
Site moments in Bohr magnetons follow the coordinates.
Positions (direct):
Ba (0.010, 0.010, 0.971)  0.05
Ba (0.490, 0.490, 0.529)  0.05
Y (0.250, 0.250, 0.250)  0.34
Br (0.750, 0.750, 0.750)  0.00

Magnetic moment ... 1.1 Bohr magnetons per cell
Crystal system ... trigonal
Energy above the lowest structure with this stoichiometry ... 0 meV/atom
Raw formation energy ... -0.593 eV/atom
SG ... R-3m (166)
DFT total energy ... -3.59 eV per atom

=====

Entry 3:
This record from Alexandria via LeMat-Bulk describes a relaxed Ba4YBr crystal. The functional is GGA-PBE.

a = 7.667 Å, b = 7.667 Å, c = 7.667 Å
α = 60.00°, β = 60.00°, γ = 60.00°
Site moments in Bohr magnetons follow the coordinates.
Positions (direct):
Y (0.000, 0.000, 0.000)  0.57
Ba (0.374, 0.878, 0.374)  0.14
Ba (0.878, 0.374, 0.374)  0.14
Ba (0.374, 0.374, 0.374)  0.14
Ba (0.374, 0.374, 0.878)  0.14
Br (0.750, 0.750, 0.750)  0.02

Magnetic moment ... 3.3 Bohr magnetons per cell
Crystal system ... cubic
Raw formation energy ... 0.244 eV/atom
SG ... F-43m (216)
DFT total energy ... -2.39 eV per atom

=====

Entry 4:
This record from Alexandria via LeMat-Bulk describes a relaxed Ba2YBr crystal. The functional is GGA-PBE.

a = 4.047 Å, b = 5.822 Å, c = 7.406 Å
α = 90.00°, β = 90.00°, γ = 90.00°
Positions (direct):
Y (0.500, 0.500, 0.845)
Ba (0.000, 0.000, 0.928)
Ba (0.500, 0.500, 0.349)
Br (0.000, 0.000, 0.377)

Magnetic moment ... 0.0 Bohr magnetons per cell
Crystal system ... orthorhombic
Energy above the lowest structure with this stoichiometry ... 256 meV/atom
Raw formation energy ... -0.337 eV/atom
SG ... Pmm2 (25)
DFT total energy ... -3.33 eV per atom

=====

Entry 5:
This record from Alexandria via LeMat-Bulk describes a relaxed BaY3Br crystal. The functional is GGA-PBE.

a = 5.624 Å, b = 5.624 Å, c = 5.624 Å
α = 90.00°, β = 90.00°, γ = 90.00°
Positions (direct):
Br (0.000, 0.000, 0.000)
Ba (0.500, 0.500, 0.500)
Y (0.500, 0.000, 0.000)
Y (0.000, 0.500, 0.000)
Y (0.000, 0.000, 0.500)

Magnetic moment ... 0.0 Bohr magnetons per cell
Crystal system ... cubic
Energy above the lowest structure with this stoichiometry ... 0 meV/atom
Raw formation energy ... -0.133 eV/atom
SG ... Pm-3m (221)
DFT total energy ... -4.73 eV per atom

=====

Entry 6:
This record from Alexandria via LeMat-Bulk describes a relaxed BaY2Br crystal. The functional is GGA-PBE.

a = 3.625 Å, b = 3.625 Å, c = 10.313 Å
α = 90.00°, β = 90.00°, γ = 90.00°
Positions (direct):
Br (0.500, 0.500, 0.750)
Y (0.000, 0.000, 0.547)
Y (0.000, 0.000, 0.953)
Ba (0.500, 0.500, 0.250)

Magnetic moment ... 0.0 Bohr magnetons per cell
Crystal system ... tetragonal
Energy above the lowest structure with this stoichiometry ... 349 meV/atom
Raw formation energy ... -0.197 eV/atom
SG ... P4/mmm (123)
DFT total energy ... -4.33 eV per atom

=====

What are the ρ values for these records? In order: 4.496, 4.279, 3.741, 4.220, 4.517, 4.841 g/cm3.